## Si3HgN (meta-GGA SCAN)

Data for a crystal of Si3HgN relaxed with PBEsol.

Lattice parameters (Å, degrees): 4.145 4.145 4.145 90.00 90.00 90.00
Fractional positions:
Si 0.000 0.000 0.500
Si 0.000 0.500 0.000
Si 0.500 0.000 0.000
Hg 0.500 0.500 0.500
N 0.000 0.000 0.000

- formation energy (no corrections) (eV/atom) = 0.85
- E_tot (eV per atom) = -20.65
- density (g/cm³) = 6.97